a | PBE ZrBP2O, optimized geometry; spin magnetization = 0.7 Bohr magnetons per cell
1.0
-1.793 -3.438 -3.437
-0.984 -3.330 3.845
-3.655 1.523 0.384
Zr O B P
1 1 1 2
direct
0.000 0.000 0.000
0.000 0.000 0.500
0.500 0.500 0.500
0.000 0.500 0.000
0.500 0.000 0.000

=====

b | PBE ZrBP2O, optimized geometry; spin magnetization = 0.0 Bohr magnetons per cell
1.0
3.937 0.000 0.000
0.000 3.937 0.000
0.000 0.000 4.209
P B Zr O
2 1 1 1
direct
0.500 0.000 0.000
0.000 0.500 0.000
0.000 0.000 0.000
0.500 0.500 0.500
0.000 0.000 0.500

=====

Least stable = a

=====

a | PBE BPbO2, optimized geometry; spin magnetization = 0.0 Bohr magnetons per cell
1.0
-3.078 -2.993 5.166
-0.637 -2.076 -1.583
4.535 0.627 -0.367
Pb O B
1 2 1
direct
0.177 0.833 0.666
0.605 0.823 0.647
0.983 0.470 0.940
0.735 0.374 0.747

=====

b | PBE BPbO2, optimized geometry; spin magnetization = 0.0 Bohr magnetons per cell
1.0
-4.305 -0.763 5.404
-2.075 -3.178 5.823
-1.381 -0.093 6.812
B O Pb
1 2 1
direct
0.000 0.000 0.000
0.937 0.937 0.937
0.063 0.063 0.063
0.500 0.500 0.500

=====

Least stable = a

=====

a | PBE B2PbO, optimized geometry; spin magnetization = 0.0 Bohr magnetons per cell
1.0
3.467 0.000 0.000
0.000 3.467 0.000
1.734 1.734 8.941
B O Pb
4 2 2
direct
0.875 0.625 0.750
0.375 0.625 0.750
0.375 0.125 0.250
0.375 0.625 0.250
0.500 0.500 0.000
0.250 0.750 0.500
0.000 0.000 0.000
0.750 0.250 0.500

=====

b | PBE B2PbO, optimized geometry; spin magnetization = 0.0 Bohr magnetons per cell
1.0
0.000 2.979 2.979
2.979 0.000 2.979
2.979 2.979 0.000
B O Pb
2 1 1
direct
0.750 0.750 0.750
0.250 0.250 0.250
0.000 0.000 0.000
0.500 0.500 0.500

=====

Least stable = b

=====

a | PBE B2PbO4, optimized geometry; spin magnetization = 0.0 Bohr magnetons per cell
1.0
-1.873 -0.646 4.182
-4.071 -0.680 -2.090
4.549 -7.259 -1.556
Pb O B
2 8 4
direct
0.961 0.959 0.000
0.210 0.711 0.500
0.414 0.068 0.880
0.189 0.534 0.120
0.140 0.384 0.722
0.662 0.419 0.278
0.784 0.939 0.620
0.634 0.891 0.222
0.318 0.164 0.380
0.668 0.412 0.778
0.528 0.155 0.299
0.856 0.230 0.701
0.480 0.607 0.201
0.405 0.278 0.799

=====

b | PBE B2PbO4, optimized geometry; spin magnetization = 0.0 Bohr magnetons per cell
1.0
-0.937 -2.498 -3.086
-0.352 -2.012 4.433
-8.528 2.586 0.497
O B Pb
8 4 2
direct
0.000 0.500 0.123
0.382 0.254 0.000
0.618 0.746 0.000
0.129 0.746 0.500
0.000 0.500 0.877
0.500 0.500 0.377
0.500 0.500 0.623
0.871 0.254 0.500
0.755 0.510 0.000
0.755 0.510 0.500
0.245 0.490 0.000
0.245 0.490 0.500
0.500 0.000 0.250
0.500 0.000 0.750

=====

Least stable = b